Record 1
LiAs2Br (PBE-GGA, relaxed); crystal system = cubic; formation energy (no corrections) = 0.02 eV/atom; volume = 83.2 Å³/cell
1.0
4.9004 0.0000 0.0000
-0.0016 4.9004 0.0000
-2.4494 -2.4502 3.4657
As Br Li
2 1 1
direct
0.2500 0.7500 0.5000
0.0000 0.0000 0.0000
0.5000 0.5000 0.0000
0.7500 0.2500 0.5000


Record 2
Li2AsBr (PBE-GGA, relaxed); crystal system = tetragonal; formation energy (no corrections) = -0.74 eV/atom; volume = 85.4 Å³/cell
1.0
3.3300 0.0000 0.0000
0.0000 3.3300 0.0000
0.0000 0.0000 7.7040
Li Br As
2 1 1
direct
0.0000 0.0000 0.8183
0.5000 0.5000 0.2691
0.5000 0.5000 0.9450
0.0000 0.0000 0.4676


Record 3
LiAsBr2 (PBE-GGA, relaxed); crystal system = orthorhombic; formation energy (no corrections) = -0.32 eV/atom; volume = 97.3 Å³/cell
1.0
-2.9794 1.3535 1.8464
2.4848 -2.3280 1.5887
4.4407 6.4187 2.4603
Br As Li
2 1 1
direct
0.0000 0.0000 0.4723
0.0000 0.0000 0.0277
0.5000 0.5000 0.7500
0.5000 0.5000 0.2500


Record 4
Li2AsBr (PBE-GGA, relaxed); crystal system = monoclinic; formation energy (no corrections) = -0.61 eV/atom; volume = 76.6 Å³/cell
1.0
-3.2015 -0.5091 -0.7510
-0.2110 -4.6104 4.0247
-1.1581 -0.6876 5.4028
Br Li As
1 2 1
direct
0.0000 0.0000 0.5000
0.5000 0.5000 0.0000
0.0000 0.0000 0.0000
0.5000 0.5000 0.5000


Record 5
LiAsBr2 (PBE-GGA, relaxed); crystal system = orthorhombic; formation energy (no corrections) = -0.38 eV/atom; volume = 119.2 Å³/cell
1.0
-2.5423 -0.6650 2.6274
-1.7456 -6.9468 -3.4474
2.8057 -1.8232 2.2533
Br Li As
2 1 1
direct
0.5000 0.5000 0.0000
0.0000 0.0000 0.0000
0.5000 0.0000 0.5000
0.0000 0.5000 0.5000


Record 6
LiAs2Br (PBE-GGA, relaxed); crystal system = tetragonal; formation energy (no corrections) = -0.22 eV/atom; volume = 105.3 Å³/cell
1.0
4.3772 0.0000 0.0000
0.0000 4.3829 0.0000
0.0000 0.0000 5.4913
As Li Br
2 1 1
direct
0.0000 0.0000 0.9480
0.0000 0.0000 0.5520
0.5000 0.5000 0.7500
0.5000 0.5000 0.2500


Record 7
LiAsBr5 (PBE-GGA, relaxed); crystal system = monoclinic; formation energy (no corrections) = -0.52 eV/atom; volume = 421.7 Å³/cell
1.0
6.7599 -0.0810 0.5272
2.0678 6.4364 0.5272
3.8119 2.7443 10.1113
Br As Li
10 2 2
direct
0.6980 0.7620 0.1346
0.2380 0.3020 0.3654
0.3005 0.6655 0.0012
0.0086 0.9914 0.7500
0.6655 0.3005 0.5012
0.9914 0.0086 0.2500
0.3345 0.6995 0.4988
0.6995 0.3345 0.9988
0.3020 0.2380 0.8654
0.7620 0.6980 0.6346
0.0000 0.0000 0.5000
0.0000 0.0000 0.0000
0.3297 0.6703 0.7500
0.6703 0.3297 0.2500


Record 8
Li2AsBr (PBE-GGA, relaxed); crystal system = trigonal; formation energy (no corrections) = -0.75 eV/atom; volume = 77.1 Å³/cell
1.0
7.7806 -0.0170 -0.0102
7.0271 3.3403 -0.0102
7.0271 1.5771 2.9446
As Li Br
1 2 1
direct
0.2500 0.2500 0.2500
0.4905 0.4905 0.4905
0.0095 0.0095 0.0095
0.7500 0.7500 0.7500


Record 9
LiAsBr2 (PBE-GGA, relaxed); crystal system = tetragonal; formation energy (no corrections) = -0.38 eV/atom; volume = 121.6 Å³/cell
1.0
8.6517 0.0596 0.0000
6.9054 5.2126 0.0000
-7.7786 -2.6361 2.7204
As Br Li
1 2 1
direct
0.7500 0.2500 0.5000
0.2500 0.7500 0.5000
0.0000 0.0000 0.0000
0.5000 0.5000 0.0000


Record 10
Li2AsBr (PBE-GGA, relaxed); crystal system = orthorhombic; formation energy (no corrections) = -0.72 eV/atom; volume = 83.6 Å³/cell
1.0
-4.8933 -5.1828 -3.3541
-2.9264 -4.3918 -5.8484
2.0466 -2.4695 0.8309
Br As Li
1 1 2
direct
0.2135 0.2135 0.1249
0.4478 0.4478 0.6251
0.0533 0.0533 0.1251
0.7855 0.7855 0.6249


Record 11
LiAs2Br (PBE-GGA, relaxed); crystal system = tetragonal; formation energy (no corrections) = -0.47 eV/atom; volume = 102.1 Å³/cell
1.0
-1.9006 -2.2006 2.0497
3.0071 -1.3694 1.3182
-0.0599 5.5245 5.8756
As Li Br
2 1 1
direct
0.5000 0.5000 0.1946
0.0000 0.0000 0.0916
0.5000 0.5000 0.5850
0.0000 0.0000 0.6288


Record 12
LiAs2Br (PBE-GGA, relaxed); crystal system = trigonal; formation energy (no corrections) = 0.26 eV/atom; volume = 80.1 Å³/cell
1.0
8.8089 0.0126 0.0075
8.1940 3.2333 0.0075
8.1940 1.5643 2.8297
As Li Br
2 1 1
direct
0.0050 0.0050 0.0050
0.4950 0.4950 0.4950
0.7500 0.7500 0.7500
0.2500 0.2500 0.2500


Record 13
LiAs2Br (PBE-GGA, relaxed); crystal system = orthorhombic; formation energy (no corrections) = -0.35 eV/atom; volume = 133.1 Å³/cell
1.0
-1.8600 -5.8200 1.7767
5.9579 -2.2314 -0.1131
-4.2719 3.6765 2.9536
As Li Br
2 1 1
direct
0.1893 0.6893 0.5000
0.0181 0.0181 0.0000
0.7288 0.2288 0.5000
0.5638 0.5638 0.0000


Record 14
LiAsBr2 (PBE-GGA, relaxed); crystal system = cubic; formation energy (no corrections) = 0.18 eV/atom; volume = 99.3 Å³/cell
1.0
5.1985 0.0000 0.0000
2.5992 4.5020 0.0000
2.5992 1.5007 4.2445
Li Br As
1 2 1
direct
0.7500 0.7500 0.7500
0.0000 0.0000 0.0000
0.2500 0.2500 0.2500
0.5000 0.5000 0.5000


Record 15
LiAs2Br (PBE-GGA, relaxed); crystal system = tetragonal; formation energy (no corrections) = -0.43 eV/atom; volume = 121.3 Å³/cell
1.0
-2.1049 -2.7793 -1.0984
2.6651 -2.3587 0.8609
-3.3744 -0.7551 8.3767
Br As Li
1 2 1
direct
0.5000 0.0000 0.5000
0.0000 0.0000 0.0000
0.5000 0.5000 0.0000
0.0000 0.5000 0.5000


Record 16
LiAsBr2 (PBE-GGA, relaxed); crystal system = monoclinic; formation energy (no corrections) = -0.46 eV/atom; volume = 103.2 Å³/cell
1.0
-0.9214 -4.8476 0.2994
-0.3287 -3.4915 3.4841
-6.3966 -0.0443 1.2093
Br Li As
2 1 1
direct
0.4200 0.4200 0.5219
0.0800 0.0800 0.9781
0.7500 0.7500 0.7500
0.2500 0.2500 0.2500


Record 17
LiAsBr2 (PBE-GGA, relaxed); crystal system = orthorhombic; formation energy (no corrections) = -0.33 eV/atom; volume = 108.9 Å³/cell
1.0
5.6692 -0.0832 -0.0084
-0.2243 5.6654 0.0084
-1.0486 -4.4237 3.3878
As Li Br
1 1 2
direct
0.2500 0.7500 0.5000
0.7500 0.2500 0.5000
0.9987 0.9987 0.0000
0.5013 0.5013 0.0000


Record 18
LiAs2Br (PBE-GGA, relaxed); crystal system = monoclinic; formation energy (no corrections) = -0.48 eV/atom; volume = 102.1 Å³/cell
1.0
-3.7001 5.7571 -0.7463
-3.0199 -2.0061 -0.5031
-0.8450 -0.0291 3.9650
As Li Br
2 1 1
direct
0.0000 0.5190 0.5587
0.0000 0.9810 0.9413
0.5000 0.7500 0.7500
0.5000 0.2500 0.2500


Record 19
Li2AsBr (PBE-GGA, relaxed); crystal system = orthorhombic; formation energy (no corrections) = -0.56 eV/atom; volume = 85.4 Å³/cell
1.0
-0.3178 -4.0110 1.2162
5.8005 0.3314 2.6088
-1.2946 0.9392 2.7592
Br As Li
1 1 2
direct
0.0000 0.5000 0.5000
0.5000 0.0000 0.5000
0.0000 0.0000 0.0000
0.5000 0.5000 0.0000


Record 20
LiAsBr2 (PBE-GGA, relaxed); crystal system = orthorhombic; formation energy (no corrections) = -0.47 eV/atom; volume = 109.6 Å³/cell
1.0
-3.3354 2.4664 4.0415
0.9874 -2.5851 2.3926
4.4865 1.6295 2.7082
As Li Br
1 1 2
direct
0.5000 0.7625 0.8489
0.0000 0.4397 0.4967
0.0000 0.7756 0.8248
0.5000 0.5222 0.3297


Record 21
Li2AsBr (PBE-GGA, relaxed); crystal system = orthorhombic; formation energy (no corrections) = -0.58 eV/atom; volume = 97.3 Å³/cell
1.0
-2.8119 1.6503 -7.2438
0.1730 -2.5769 -7.5121
-1.0691 -0.4168 7.8604
As Li Br
1 2 1
direct
0.5109 0.5109 0.0000
0.7056 0.2056 0.5000
0.0554 0.0554 0.0000
0.2281 0.7281 0.5000


Record 22
Li2AsBr (PBE-GGA, relaxed); crystal system = tetragonal; formation energy (no corrections) = -0.44 eV/atom; volume = 76.5 Å³/cell
1.0
4.9916 0.0012 0.0000
1.0379 4.8825 0.0000
-3.0148 -2.4418 3.1408
Li Br As
2 1 1
direct
0.0000 0.0000 0.0000
0.5000 0.5000 0.0000
0.7500 0.2500 0.5000
0.2500 0.7500 0.5000


Record 23
LiAsBr2 (PBE-GGA, relaxed); crystal system = orthorhombic; formation energy (no corrections) = -0.38 eV/atom; volume = 105.4 Å³/cell
1.0
-1.8964 3.1383 1.2070
-4.3936 -1.8182 -2.1758
-1.5246 -2.5738 4.2967
Li Br As
1 2 1
direct
0.5000 0.2500 0.2500
0.0000 0.0029 0.0025
0.0000 0.4971 0.4975
0.5000 0.7500 0.7500


Record 24
LiAs2Br6 (PBE-GGA, relaxed); crystal system = monoclinic; formation energy (no corrections) = -0.51 eV/atom; volume = 883.2 Å³/cell
1.0
7.6317 0.0826 0.0799
2.3498 11.0158 -2.5955
2.3498 -2.2372 11.0941
Br As Li
12 4 2
direct
0.7095 0.5246 0.0862
0.4976 0.2992 0.4970
0.7905 0.9138 0.4754
0.0024 0.5030 0.7008
0.9222 0.1665 0.0686
0.2095 0.0862 0.5246
0.0778 0.8335 0.9314
0.2905 0.4754 0.9138
0.4222 0.0686 0.1665
0.5024 0.7008 0.5030
0.9976 0.4970 0.2992
0.5778 0.9314 0.8335
0.2503 0.5707 0.7692
0.7503 0.7692 0.5707
0.7497 0.4293 0.2308
0.2497 0.2308 0.4293
0.7500 0.9986 0.0014
0.2500 0.0014 0.9986


Record 25
Li3AsBr (PBE-GGA, relaxed); crystal system = cubic; formation energy (no corrections) = -0.58 eV/atom; volume = 118.1 Å³/cell
1.0
-0.9946 4.6940 -1.0238
-4.5758 -1.2442 -1.2591
-1.4643 0.6996 4.6300
As Li Br
1 3 1
direct
0.0000 0.0000 0.0000
0.0000 0.5000 0.0000
0.5000 0.0000 0.0000
0.0000 0.0000 0.5000
0.5000 0.5000 0.5000


Record 26
LiAsBr2 (PBE-GGA, relaxed); crystal system = trigonal; formation energy (no corrections) = -0.33 eV/atom; volume = 88.7 Å³/cell
1.0
8.4018 -0.0107 -0.0063
7.6583 3.4556 -0.0063
7.6583 1.6427 3.0402
Br Li As
2 1 1
direct
0.4853 0.4853 0.4853
0.0147 0.0147 0.0147
0.7500 0.7500 0.7500
0.2500 0.2500 0.2500


Record 27
Li2AsBr (PBE-GGA, relaxed); crystal system = orthorhombic; formation energy (no corrections) = -0.59 eV/atom; volume = 75.7 Å³/cell
1.0
4.8882 -0.0009 0.0000
-1.1254 4.7569 0.0000
0.0000 0.0000 3.2545
As Li Br
1 2 1
direct
0.5000 0.0000 0.5000
0.5000 0.5000 0.0000
0.0000 0.0000 0.0000
0.0000 0.5000 0.5000


Record 28
LiMgAs2Br (PBE-GGA, relaxed); crystal system = tetragonal; formation energy (no corrections) = 0.05 eV/atom; volume = 142.7 Å³/cell
1.0
5.0507 0.0000 0.0000
0.0000 5.0507 0.0000
0.0000 0.0000 5.5932
Mg As Li Br
1 2 1 1
direct
0.0000 0.0000 0.0000
0.5000 0.0000 0.0000
0.0000 0.5000 0.0000
0.5000 0.5000 0.5000
0.0000 0.0000 0.5000


Record 29
LiMgAsBr2 (PBE-GGA, relaxed); crystal system = tetragonal; formation energy (no corrections) = -0.48 eV/atom; volume = 154.7 Å³/cell
1.0
5.4310 0.0000 0.0000
0.0000 5.4310 0.0000
0.0000 0.0000 5.2456
Li Mg Br As
1 1 2 1
direct
0.5000 0.5000 0.5000
0.0000 0.0000 0.0000
0.0000 0.5000 0.0000
0.5000 0.0000 0.0000
0.0000 0.0000 0.5000